[1]
Material: Pm3AlGe6Rh2
Method: DFT, GGA-PBE
State: optimized geometry

Its energy relative to the elements is -4.28 eV/f.u. As for the density of states at the Fermi level: 0.37 states/eV per atom. The total magnetic moment is 0.00 μB/cell. The calculation puts the theoretical density at 7295 kg/m3.

The space group is P-3m1 (No. 164) and the conventional cell measures 5.8887, 5.8887 and 8.3657 Å, with angles of 90.00, 90.00 and 120.00 degrees. The inequivalent atoms are Pm at (0.0000, 0.0000, 0.0000), Pm at (0.3333, 0.6667, 0.6121), Al at (0.0000, 0.0000, 0.5000), Ge at (0.1846, 0.3692, 0.2750) and Rh at (0.3333, 0.6667, 0.0358).


[2]
Material: KAgTeS2
Method: DFT, GGA-PBE
State: optimized geometry

As for the density of states at the Fermi level: 0.28 states/eV per atom. The total magnetic moment is 0.00 μB/cell. The calculation puts the theoretical density at 3603 kg/m3. The calculation puts the formation energy from raw total energies at -0.2487 eV/atom.

The space group is Cmme (No. 67) and the conventional cell measures 8.5725, 15.0931 and 4.8259 Å, with angles of 90.00, 90.00 and 90.00 degrees. The inequivalent atoms are K at (0.0000, 0.2500, 0.1447), Ag at (0.0000, 0.0000, 0.0000), Te at (0.2500, 0.0000, 0.5000) and S at (0.0000, 0.1115, 0.6319).


[3]
Material: KGe
Method: DFT, GGA-PBE
State: optimized geometry

The value obtained for the excess energy over the best structure of this formula in the dataset is 0.121 eV/atom. Its energy relative to the elements is -0.19 eV/f.u. As for the density of states at the Fermi level: 0.56 states/eV per atom. The total magnetic moment is 0.00 μB/cell. The calculation puts the theoretical density at 2178 kg/m3.

The space group is I4/mmm (No. 139) and the conventional cell measures 12.9296, 12.9296 and 4.0775 Å, with angles of 90.00, 90.00 and 90.00 degrees. The inequivalent atoms are K at (0.0000, 0.2308, 0.0000) and Ge at (0.2113, 0.2113, 0.5000).